# 1
Density functional theory data (SCAN) for a PBEsol-optimized structure of PmEr3.

Cell: 4.9011 4.9011 4.9011 Å, 90.00 90.00 90.00°
With the nearest neighbours (Å) after each atom.
Fractional coordinates of all 4 atoms:
Er 0.0000 0.5000 0.5000  8 Er 3.47, 4 Pm 3.47
Pm 0.0000 0.0000 0.0000  12 Er 3.47
Er 0.5000 0.0000 0.5000  8 Er 3.47, 4 Pm 3.47
Er 0.5000 0.5000 0.0000  8 Er 3.47, 4 Pm 3.47

- energy above the lowest structure with this stoichiometry (meV/atom) = 13
- total magnetic moment (μB/atom) = 0.01
- symmetry = No. 221
- DOS at the Fermi energy (states/eV per cell) = 4.908
- final energy (eV/atom) = -48.728

# 2
Density functional theory data (SCAN) for a PBEsol-optimized structure of CdMoPS2.

Cell: 4.7822 4.8223 4.8223 Å, 90.00 90.00 90.00°
With the nearest neighbours (Å) after each atom.
Fractional coordinates of all 5 atoms:
P 0.5000 0.0000 0.0000  2 Cd 2.39
Cd 0.0000 0.0000 0.0000  2 P 2.39, 4 S 2.41
S 0.0000 0.5000 0.0000  2 Cd 2.41
Mo 0.5000 0.5000 0.5000  8 S 3.40, 4 P 3.41
S 0.0000 0.0000 0.5000  2 Cd 2.41

- total magnetic moment (μB/atom) = 0.45
- symmetry = No. 123
- ΔE_f (raw) (eV per atom) = 1.261
- DOS at the Fermi energy (states/eV per cell) = 2.866
- final energy (eV/atom) = -17.729

# 3
Density functional theory data (SCAN) for a PBEsol-optimized structure of ReRu3.

Cell: 3.1973 3.1973 5.4726 Å, 90.00 90.00 90.00°
With the nearest neighbours (Å) after each atom.
Fractional coordinates of all 4 atoms:
Ru 0.5000 0.5000 0.7433  6 Ru 2.62-2.81, 4 Re 2.66
Re 0.0000 0.0000 0.0000  10 Ru 2.66-2.74
Ru 0.0000 0.0000 0.5000  8 Ru 2.62, 2 Re 2.74
Ru 0.5000 0.5000 0.2567  6 Ru 2.62-2.81, 4 Re 2.66

- energy above the lowest structure with this stoichiometry (meV/atom) = 513
- total magnetic moment (μB/atom) = 0.46
- symmetry = No. 123
- DOS at the Fermi energy (states/eV per cell) = 3.520
- final energy (eV/atom) = -43.457

# 4
Density functional theory data (SCAN) for a PBEsol-optimized structure of Sr2MnFe.

Cell: 4.6614 4.6614 5.6058 Å, 114.57 114.57 90.00°
With the nearest neighbours (Å) after each atom.
Fractional coordinates of all 4 atoms:
Sr 0.7500 0.2500 0.5000  4 Fe 3.25, 4 Sr 3.25, 4 Mn 3.30
Mn 0.2500 0.7500 0.5000  4 Fe 3.25, 8 Sr 3.25-3.30
Sr 0.0000 0.0000 0.0000  4 Mn 3.25, 4 Sr 3.25, 4 Fe 3.30
Fe 0.5000 0.5000 0.0000  4 Mn 3.25, 8 Sr 3.25-3.30

- energy above the lowest structure with this stoichiometry (meV/atom) = 0
- total magnetic moment (μB/atom) = 1.79
- symmetry = No. 119
- DOS at the Fermi energy (states/eV per cell) = 3.957
- final energy (eV/atom) = -19.554